[1]
# LiMgI2N (GGA-PBE, relaxed)
data_LiMgI2N
_chemical_formula_sum 'Li1 Mg1 I2 N1'
_symmetry_space_group_name_H-M 'P 4/m m m'
_symmetry_Int_Tables_number 123
_symmetry_space_group_name_Hall '-P 4 2'
_cell_length_a 5.893
_cell_length_b 5.893
_cell_length_c 4.146
_cell_angle_alpha 90.00
_cell_angle_beta 90.00
_cell_angle_gamma 90.00
loop_
_atom_site_label
_atom_site_type_symbol
_atom_site_fract_x
_atom_site_fract_y
_atom_site_fract_z
Li1 Li 0.000 0.000 0.000
Mg1 Mg 0.500 0.500 0.500
I1 I 0.000 0.500 0.500
N1 N 0.500 0.500 0.000
# ΔE to the lowest computed polymorph	0.000	eV per atom
# ΔE_f (raw)	-0.120	eV/atom
# DFT total energy	-3.107	eV per atom

***

[2]
# ErZrIn3 (GGA-PBE, relaxed)
data_ErZrIn3
_chemical_formula_sum 'Er2 Zr2 In6'
_symmetry_space_group_name_H-M 'I 4 m m'
_symmetry_Int_Tables_number 107
_symmetry_space_group_name_Hall 'I 4 -2'
_cell_length_a 4.305
_cell_length_b 4.305
_cell_length_c 14.324
_cell_angle_alpha 90.00
_cell_angle_beta 90.00
_cell_angle_gamma 90.00
loop_
_atom_site_label
_atom_site_type_symbol
_atom_site_fract_x
_atom_site_fract_y
_atom_site_fract_z
Er1 Er 0.000 0.000 0.000
Zr1 Zr 0.000 0.000 0.631
In1 In 0.000 0.000 0.432
In2 In 0.000 0.500 0.277
# D(E_F)	6.04	states/eV/cell
# formation energy	-34	meV/atom
# DFT total energy	-4.299	eV per atom

***

[3]
# Mg2RuPbBr (GGA-PBE, relaxed)
data_Mg2RuPbBr
_chemical_formula_sum 'Mg2 Ru1 Pb1 Br1'
_symmetry_space_group_name_H-M 'P 4/m m m'
_symmetry_Int_Tables_number 123
_symmetry_space_group_name_Hall '-P 4 2'
_cell_length_a 5.456
_cell_length_b 5.456
_cell_length_c 5.294
_cell_angle_alpha 90.00
_cell_angle_beta 90.00
_cell_angle_gamma 90.00
loop_
_atom_site_label
_atom_site_type_symbol
_atom_site_fract_x
_atom_site_fract_y
_atom_site_fract_z
Mg1 Mg 0.000 0.500 0.000
Ru1 Ru 0.000 0.000 0.500
Pb1 Pb 0.000 0.000 0.000
Br1 Br 0.500 0.500 0.500
# D(E_F)	2.77	states/eV/cell
# ΔE_f (raw)	0.708	eV/atom
# DFT total energy	-2.861	eV per atom

***

[4]
# Ba3Tl6Cd2Pb (GGA-PBE, relaxed)
data_Ba3Tl6Cd2Pb
_chemical_formula_sum 'Ba3 Tl6 Cd2 Pb1'
_symmetry_space_group_name_H-M 'P -3 m 1'
_symmetry_Int_Tables_number 164
_symmetry_space_group_name_Hall '-P 3 2"'
_cell_length_a 6.5637
_cell_length_b 6.5637
_cell_length_c 11.3999
_cell_angle_alpha 90.00
_cell_angle_beta 90.00
_cell_angle_gamma 120.00
loop_
_atom_site_label
_atom_site_type_symbol
_atom_site_fract_x
_atom_site_fract_y
_atom_site_fract_z
Ba1 Ba 0.0000 0.0000 0.0000
Ba2 Ba 0.3333 0.6667 0.5896
Tl1 Tl 0.1707 0.3413 0.2589
Cd1 Cd 0.3333 0.6667 0.9341
Pb1 Pb 0.0000 0.0000 0.5000
# D(E_F)	5.64	states/eV/cell
# formation energy	-193	meV/atom
# DFT total energy	-2.319	eV per atom

***

[5]
# Sm2DyHoAs4 (GGA-PBE, relaxed)
data_Sm2DyHoAs4
_chemical_formula_sum 'Sm2 Dy1 Ho1 As4'
_symmetry_space_group_name_H-M 'P 1 2/m 1'
_symmetry_Int_Tables_number 10
_cell_length_a 7.207
_cell_length_b 4.164
_cell_length_c 7.209
_cell_angle_alpha 90.00
_cell_angle_beta 109.47
_cell_angle_gamma 90.00
loop_
_symmetry_equiv_pos_as_xyz
'x,y,z'
'-x,-y,-z'
'-x,y,-z'
'x,-y,z'
loop_
_atom_site_label
_atom_site_type_symbol
_atom_site_fract_x
_atom_site_fract_y
_atom_site_fract_z
Sm1 Sm 0.000 0.000 0.000
Sm2 Sm 0.000 0.500 0.500
Dy1 Dy 0.500 0.000 0.500
Ho1 Ho 0.500 0.500 0.000
As1 As 0.256 0.500 0.252
As2 As 0.257 0.000 0.753
# D(E_F)	0.87	states/eV/cell
# formation energy	-1528	meV/atom
# DFT total energy	-6.180	eV per atom

***

[6]
# KAlCdIn2 (GGA-PBE, relaxed)
data_KAlCdIn2
_chemical_formula_sum 'K1 Al1 Cd1 In2'
_symmetry_space_group_name_H-M 'P 4/m m m'
_symmetry_Int_Tables_number 123
_symmetry_space_group_name_Hall '-P 4 2'
_cell_length_a 6.144
_cell_length_b 6.144
_cell_length_c 5.874
_cell_angle_alpha 90.00
_cell_angle_beta 90.00
_cell_angle_gamma 90.00
loop_
_atom_site_label
_atom_site_type_symbol
_atom_site_fract_x
_atom_site_fract_y
_atom_site_fract_z
K1 K 0.000 0.000 0.000
Al1 Al 0.500 0.500 0.500
Cd1 Cd 0.000 0.000 0.500
In1 In 0.000 0.500 0.000
# D(E_F)	7.30	states/eV/cell
# formation energy	1030	meV/atom
# DFT total energy	-1.216	eV per atom

***

[7]
# Gd2HgCl (GGA-PBE, relaxed)
data_Gd2HgCl
_chemical_formula_sum 'Gd6 Hg3 Cl3'
_symmetry_space_group_name_H-M 'R -3 m'
_symmetry_Int_Tables_number 166
_symmetry_space_group_name_Hall '-R 3 2"'
_cell_length_a 4.1041
_cell_length_b 4.1041
_cell_length_c 21.5778
_cell_angle_alpha 90.00
_cell_angle_beta 90.00
_cell_angle_gamma 120.00
loop_
_atom_site_label
_atom_site_type_symbol
_atom_site_fract_x
_atom_site_fract_y
_atom_site_fract_z
Gd1 Gd 0.0000 0.0000 0.2420
Hg1 Hg 0.0000 0.0000 0.0000
Cl1 Cl 0.0000 0.0000 0.5000
# D(E_F)	13.59	states/eV/cell
# ΔE_f (raw)	-0.855	eV/atom
# DFT total energy	-8.433	eV per atom

***

[8]
# K2ScCo (GGA-PBE, relaxed)
data_K2ScCo
_chemical_formula_sum 'K2 Sc1 Co1'
_symmetry_space_group_name_H-M 'P 4/m m m'
_symmetry_Int_Tables_number 123
_symmetry_space_group_name_Hall '-P 4 2'
_cell_length_a 3.166
_cell_length_b 3.166
_cell_length_c 12.016
_cell_angle_alpha 90.00
_cell_angle_beta 90.00
_cell_angle_gamma 90.00
loop_
_atom_site_label
_atom_site_type_symbol
_atom_site_fract_x
_atom_site_fract_y
_atom_site_fract_z
K1 K 0.000 0.000 0.209
Sc1 Sc 0.500 0.500 0.500
Co1 Co 0.500 0.500 0.000
# D(E_F)	5.44	states/eV/cell
# formation energy	1040	meV/atom
# ΔE to the lowest computed polymorph	0.680	eV per atom
# DFT total energy	-2.869	eV per atom

***

[9]
# Pu5Ru2Pt2 (GGA-PBE, relaxed)
data_Pu5Ru2Pt2
_chemical_formula_sum 'Pu20 Ru8 Pt8'
_symmetry_space_group_name_H-M 'I m a 2'
_symmetry_Int_Tables_number 46
_cell_length_a 16.684
_cell_length_b 5.700
_cell_length_c 7.844
_cell_angle_alpha 90.00
_cell_angle_beta 90.00
_cell_angle_gamma 90.00
loop_
_symmetry_equiv_pos_as_xyz
'x,y,z'
'-x,-y,z'
'-x+1/2,y,z'
'x+1/2,-y,z'
'x+1/2,y+1/2,z+1/2'
'-x+1/2,-y+1/2,z+1/2'
'-x,y+1/2,z+1/2'
'x,-y+1/2,z+1/2'
loop_
_atom_site_label
_atom_site_type_symbol
_atom_site_fract_x
_atom_site_fract_y
_atom_site_fract_z
Pu1 Pu 0.082 0.116 0.000
Pu2 Pu 0.168 0.578 0.863
Pu3 Pu 0.250 0.035 0.687
Ru1 Ru 0.000 0.000 0.349
Ru2 Ru 0.250 0.048 0.017
Pt1 Pt 0.069 0.633 0.162
# D(E_F)	142.81	states/eV/cell
# formation energy	-261	meV/atom
# DFT total energy	-11.627	eV per atom

***

[10]
# YAlGa2 (GGA-PBE, relaxed)
data_YAlGa2
_chemical_formula_sum 'Y2 Al2 Ga4'
_symmetry_space_group_name_H-M 'C m m m'
_symmetry_Int_Tables_number 65
_symmetry_space_group_name_Hall '-C 2 2'
_cell_length_a 5.539
_cell_length_b 9.231
_cell_length_c 3.193
_cell_angle_alpha 90.00
_cell_angle_beta 90.00
_cell_angle_gamma 90.00
loop_
_atom_site_label
_atom_site_type_symbol
_atom_site_fract_x
_atom_site_fract_y
_atom_site_fract_z
Y1 Y 0.000 0.000 0.000
Al1 Al 0.000 0.500 0.500
Ga1 Ga 0.250 0.250 0.500
# D(E_F)	5.46	states/eV/cell
# formation energy	-352	meV/atom
# DFT total energy	-4.417	eV per atom

***

[11]
# La2Be3Cu12Rh (GGA-PBE, relaxed)
data_La2Be3Cu12Rh
_chemical_formula_sum 'La6 Be9 Cu36 Rh3'
_symmetry_space_group_name_H-M 'R -3 m'
_symmetry_Int_Tables_number 166
_symmetry_space_group_name_Hall '-R 3 2"'
_cell_length_a 7.6339
_cell_length_b 7.6339
_cell_length_c 17.7535
_cell_angle_alpha 90.00
_cell_angle_beta 90.00
_cell_angle_gamma 120.00
loop_
_atom_site_label
_atom_site_type_symbol
_atom_site_fract_x
_atom_site_fract_y
_atom_site_fract_z
La1 La 0.0000 0.0000 0.1084
Be1 Be 0.0000 0.5000 0.0000
Cu1 Cu 0.0072 0.5036 0.8827
Cu2 Cu 0.0435 0.5217 0.3523
Rh1 Rh 0.0000 0.0000 0.5000
# D(E_F)	17.60	states/eV/cell
# formation energy	318	meV/atom
# DFT total energy	-3.990	eV per atom

***

[12]
# MoSCl2 (GGA-PBE, relaxed)
data_MoSCl2
_chemical_formula_sum 'Mo3 S3 Cl6'
_symmetry_space_group_name_H-M 'R -3 m'
_symmetry_Int_Tables_number 166
_symmetry_space_group_name_Hall '-R 3 2"'
_cell_length_a 2.9995
_cell_length_b 2.9995
_cell_length_c 37.0378
_cell_angle_alpha 90.00
_cell_angle_beta 90.00
_cell_angle_gamma 120.00
loop_
_atom_site_label
_atom_site_type_symbol
_atom_site_fract_x
_atom_site_fract_y
_atom_site_fract_z
Mo1 Mo 0.0000 0.0000 0.0000
S1 S 0.0000 0.0000 0.5000
Cl1 Cl 0.0000 0.0000 0.0603
# D(E_F)	13.02	states/eV/cell
# ΔE to the lowest computed polymorph	0.765	eV per atom
# ΔE_f (raw)	0.423	eV/atom
# DFT total energy	-4.240	eV per atom